(1)
This record from Alexandria via LeMat-Bulk describes crystalline FeSi at its relaxed geometry. The functional is GGA-PBE.

Summary:
**Magnetic moment**: 1.8 μB/f.u.
**Energy relative to the elements, uncorrected**: 0.055 eV per atom
**Final energy**: -110.20 eV for the cell shown

abc: 5.726 5.726 5.726
angles: 90.00 90.00 90.00
Space group Fd-3m (No. 227, origin choice 2)
Inequivalent atoms, fractional coordinates:
Fe  0.125  0.125  0.125
Si  0.125  0.125  0.625

(2)
This record from Alexandria via LeMat-Bulk describes crystalline Tb2S2F at its relaxed geometry. The functional is GGA-PBE.

Summary:
**Magnetic moment**: 0.0 μB/f.u.
**Energy relative to the elements, uncorrected**: -2.434 eV per atom
**Energy relative to the lowest polymorph listed for this composition**: 0 meV per atom
**Final energy**: -126.22 eV for the cell shown

abc: 12.294 3.635 10.464
angles: 90.00 123.41 90.00
Space group C2/m (No. 12)
Inequivalent atoms, fractional coordinates:
Tb  0.014  0.000  0.356
Tb  0.159  0.000  0.086
S  0.025  0.500  0.160
S  0.152  0.500  0.603
F  0.200  0.000  0.884

(3)
This record from Alexandria via LeMat-Bulk describes crystalline Sn3ICl at its relaxed geometry. The functional is GGA-PBE.

Summary:
**Magnetic moment**: 0.0 μB/f.u.
**Energy relative to the elements, uncorrected**: 0.671 eV per atom
**Energy relative to the lowest polymorph listed for this composition**: 245 meV per atom
**Final energy**: -12.05 eV for the cell shown

abc: 5.961 5.961 5.961
angles: 90.00 90.00 90.00
Space group Pm-3m (No. 221)
Inequivalent atoms, fractional coordinates:
Sn  0.000  0.000  0.500
I  0.000  0.000  0.000
Cl  0.500  0.500  0.500

(4)
This record from Alexandria via LeMat-Bulk describes crystalline CeErOsAu at its relaxed geometry. The functional is GGA-PBE.

Summary:
**Magnetic moment**: 0.4 μB/f.u.
**Final energy**: -106.36 eV for the cell shown

abc: 7.047 7.047 7.047
angles: 90.00 90.00 90.00
Space group F-43m (No. 216)
Inequivalent atoms, fractional coordinates:
Ce  0.000  0.000  0.000
Er  0.000  0.000  0.500
Os  0.250  0.250  0.250
Au  0.250  0.250  0.750